--- 1 ---
Entry from the Alexandria database: a relaxed TlCdI2 crystal (PBE-GGA).

a b c (Å): 6.9171 6.9171 17.4762
angles (deg): 90.00 90.00 90.00
With the nearest neighbours (Å) after each atom.
Space group I-42d (No. 122)
One atom of each set of equivalent atoms:
Tl 0.0000 0.0000 0.0000 [4 per cell]  4 I 3.48
Cd 0.0000 0.0000 0.5000 [4 per cell]  4 I 3.11
I 0.1984 0.2500 0.6250 [8 per cell]  2 Cd 3.11

M_tot	0.00	μB per formula unit

--- 2 ---
Entry from the Alexandria database: a relaxed TlCdI2 crystal (PBE-GGA).

a b c (Å): 8.2676 8.2676 8.2676
angles (deg): 90.00 90.00 90.00
With the nearest neighbours (Å) after each atom.
Space group Fm-3m (No. 225)
One atom of each set of equivalent atoms:
Tl 0.0000 0.0000 0.0000 [4 per cell]  8 I 3.58
Cd 0.0000 0.0000 0.5000 [4 per cell]  8 I 3.58
I 0.2500 0.2500 0.2500 [8 per cell]  4 Cd 3.58, 4 Tl 3.58

M_tot	0.00	μB per formula unit

Need the numbers? Relative energies in meV per atom: 1 0; 2 54.

--- 1 ---
Entry from the Alexandria database: a relaxed Tl3Cd2I7 crystal (PBE-GGA).

a b c (Å): 14.4870 15.2917 4.5535
angles (deg): 90.00 90.00 90.00
With the nearest neighbours (Å) after each atom.
Space group Pbam (No. 55)
One atom of each set of equivalent atoms:
Tl 0.0000 0.0000 0.0000 [2 per cell]  8 I 3.75-3.82
Tl 0.1086 0.3710 0.0000 [4 per cell]  6 I 3.40-3.72
Cd 0.2409 0.1217 0.5000 [4 per cell]  4 I 2.80-2.86
I 0.0000 0.5000 0.5000 [2 per cell]  4 Tl 3.40
I 0.0570 0.1872 0.5000 [4 per cell]  1 Cd 2.85
I 0.1671 0.6939 0.0000 [4 per cell]  2 Cd 2.86
I 0.2025 0.9423 0.5000 [4 per cell]  1 Cd 2.80

M_tot	0.00	μB per formula unit

--- 2 ---
Entry from the Alexandria database: a relaxed Tl3Cd2I7 crystal (PBE-GGA).

a b c (Å): 5.9745 29.7481 5.9382
angles (deg): 90.00 90.00 90.00
With the nearest neighbours (Å) after each atom.
Space group Cmmm (No. 65)
One atom of each set of equivalent atoms:
Tl 0.0000 0.0000 0.0000 [2 per cell]  12 I 4.03-4.21
Tl 0.0000 0.1618 0.0000 [4 per cell]  4 I 3.63-3.64
Cd 0.0000 0.3950 0.5000 [4 per cell]  6 I 2.80-3.12
I 0.0000 0.0914 0.5000 [4 per cell]  2 Cd 3.01
I 0.0000 0.3009 0.5000 [4 per cell]  1 Cd 2.80
I 0.0000 0.4080 0.0000 [4 per cell]  2 Cd 2.99
I 0.0000 0.5000 0.5000 [2 per cell]  2 Cd 3.12

M_tot	0.00	μB per formula unit

Need the numbers? Relative energies in meV per atom: 1 0; 2 107.